DFT (PBE) results for HgHPb after structural relaxation.

Results
Distance to the lowest polymorph of the same formula = 0.46 eV/f.u.
Crystal system = triclinic
Total DFT energy (no corrections) = -2.211 eV per atom
Magnetization = 0.00 Bohr magnetons per cell

Cell lengths 3.361, 3.361, 7.106 Å; angles 90.24, 90.12, 119.94 degrees
Space group P1 (No. 1)
One atom of each set of equivalent atoms:
Hg 0.000 0.000 0.000 x1
H 0.002 0.003 0.727 x1
Pb 0.996 0.998 0.441 x1

DFT (PBE) results for HgH6Pb after structural relaxation.

Results
Crystal system = monoclinic
Total DFT energy (no corrections) = -2.530 eV per atom
Magnetization = 0.00 Bohr magnetons per cell

Cell lengths 9.501, 5.496, 5.480 Å; angles 90.00, 125.07, 90.00 degrees
Space group C2/m (No. 12)
One atom of each set of equivalent atoms:
Hg 0.000 0.000 0.000 x2
H 0.002 0.238 0.764 x8
H 0.238 0.000 0.240 x4
Pb 0.000 0.500 0.500 x2

DFT (PBE) results for Hg3H4Pb after structural relaxation.

Results
Crystal system = monoclinic
Total DFT energy (no corrections) = -2.155 eV per atom
Magnetization = 0.00 Bohr magnetons per cell

Cell lengths 6.306, 21.208, 3.223 Å; angles 90.00, 117.86, 90.00 degrees
Space group C2/m (No. 12)
One atom of each set of equivalent atoms:
Hg 0.000 0.000 0.000 x2
Hg 0.000 0.138 0.500 x4
H 0.063 0.300 0.514 x8
Pb 0.000 0.500 0.000 x2

DFT (PBE) results for HgHPb after structural relaxation.

Results
Distance to the lowest polymorph of the same formula = 0.36 eV/f.u.
Crystal system = triclinic
Total DFT energy (no corrections) = -2.244 eV per atom
Magnetization = 0.00 Bohr magnetons per cell

Cell lengths 5.575, 5.611, 5.917 Å; angles 90.76, 116.63, 117.35 degrees
Space group P-1 (No. 2)
One atom of each set of equivalent atoms:
Hg 0.216 0.368 0.096 x2
H 0.000 0.000 0.500 x1
H 0.000 0.500 0.500 x1
Pb 0.346 0.910 0.682 x2

DFT (PBE) results for HgHPb after structural relaxation.

Results
Distance to the lowest polymorph of the same formula = 0.52 eV/f.u.
Crystal system = monoclinic
Total DFT energy (no corrections) = -2.193 eV per atom
Magnetization = 0.00 Bohr magnetons per cell

Cell lengths 10.183, 5.088, 5.307 Å; angles 90.00, 113.93, 90.00 degrees
Space group Cc (No. 9)
One atom of each set of equivalent atoms:
Hg 0.000 0.185 0.000 x4
H 0.364 0.043 0.441 x4
Pb 0.224 0.273 0.733 x4

DFT (PBE) results for HgHPb after structural relaxation.

Results
Distance to the lowest polymorph of the same formula = 0.51 eV/f.u.
Crystal system = monoclinic
Total DFT energy (no corrections) = -2.194 eV per atom
Magnetization = 0.00 Bohr magnetons per cell

Cell lengths 6.290, 3.284, 6.934 Å; angles 90.00, 110.82, 90.00 degrees
Space group P2_1/m (No. 11)
One atom of each set of equivalent atoms:
Hg 0.222 0.250 0.034 x2
H 0.351 0.250 0.821 x2
Pb 0.243 0.250 0.502 x2

DFT (PBE) results for Hg4H3Pb2 after structural relaxation.

Results
Crystal system = triclinic
Total DFT energy (no corrections) = -1.822 eV per atom
Magnetization = 0.00 Bohr magnetons per cell

Cell lengths 3.547, 6.155, 8.855 Å; angles 91.40, 99.15, 94.49 degrees
Space group P-1 (No. 2)
One atom of each set of equivalent atoms:
Hg 0.112 0.341 0.291 x2
Hg 0.263 0.797 0.436 x2
H 0.022 0.195 0.085 x2
H 0.500 0.500 0.000 x1
Pb 0.315 0.206 0.889 x2

DFT (PBE) results for Hg2HPb after structural relaxation.

Results
Distance to the lowest polymorph of the same formula = 0.00 eV/f.u.
Crystal system = monoclinic
Total DFT energy (no corrections) = -1.677 eV per atom
Magnetization = 0.00 Bohr magnetons per cell

Cell lengths 12.073, 3.435, 9.292 Å; angles 90.00, 107.28, 90.00 degrees
Space group C2/m (No. 12)
One atom of each set of equivalent atoms:
Hg 0.129 0.000 0.012 x4
Hg 0.157 0.500 0.386 x4
H 0.151 0.500 0.188 x4
Pb 0.108 0.500 0.691 x4

DFT (PBE) results for Hg2HPb2 after structural relaxation.

Results
Distance to the lowest polymorph of the same formula = 0.00 eV/f.u.
Crystal system = tetragonal
Total DFT energy (no corrections) = -2.067 eV per atom
Magnetization = 0.00 Bohr magnetons per cell

Cell lengths 6.745, 6.745, 5.529 Å; angles 90.00, 90.00, 90.00 degrees
Space group P4/mbm (No. 127)
One atom of each set of equivalent atoms:
Hg 0.161 0.339 0.000 x4
H 0.000 0.000 0.500 x2
Pb 0.183 0.683 0.500 x4

DFT (PBE) results for HgHPb after structural relaxation.

Results
Distance to the lowest polymorph of the same formula = 0.46 eV/f.u.
Crystal system = triclinic
Total DFT energy (no corrections) = -2.213 eV per atom
Magnetization = 0.00 Bohr magnetons per cell

Cell lengths 3.358, 5.815, 7.025 Å; angles 96.53, 100.70, 91.00 degrees
Space group P1 (No. 1)
One atom of each set of equivalent atoms:
Hg 0.000 0.000 0.000 x1
Hg 0.493 0.430 0.328 x1
H 0.316 0.174 0.738 x1
H 0.550 0.501 0.086 x1
Pb 0.176 0.976 0.461 x1
Pb 0.427 0.531 0.775 x1

DFT (PBE) results for Hg5H4Pb2 after structural relaxation.

Results
Crystal system = triclinic
Total DFT energy (no corrections) = -1.798 eV per atom
Magnetization = 0.00 Bohr magnetons per cell

Cell lengths 4.186, 7.799, 8.236 Å; angles 87.40, 89.08, 75.17 degrees
Space group P-1 (No. 2)
One atom of each set of equivalent atoms:
Hg 0.000 0.000 0.000 x1
Hg 0.134 0.710 0.464 x2
Hg 0.462 0.089 0.299 x2
H 0.215 0.596 0.736 x2
H 0.230 0.536 0.074 x2
Pb 0.314 0.378 0.866 x2

DFT (PBE) results for Hg2H4Pb after structural relaxation.

Results
Crystal system = triclinic
Total DFT energy (no corrections) = -2.185 eV per atom
Magnetization = 0.00 Bohr magnetons per cell

Cell lengths 5.493, 5.516, 10.986 Å; angles 86.64, 89.98, 60.14 degrees
Space group P1 (No. 1)
One atom of each set of equivalent atoms:
Hg 0.000 0.000 0.000 x1
Hg 0.077 0.620 0.594 x1
Hg 0.272 0.004 0.500 x1
Hg 0.580 0.616 0.093 x1
H 0.337 0.476 0.708 x1
H 0.461 0.184 0.399 x1
H 0.462 0.472 0.206 x1
H 0.628 0.184 0.900 x1
H 0.645 0.861 0.208 x1
H 0.744 0.663 0.970 x1
H 0.765 0.865 0.707 x1
H 0.869 0.664 0.470 x1
Pb 0.420 0.060 0.800 x1
Pb 0.796 0.056 0.300 x1